# PBE BaTcMo2, relaxed
# Polymorph energy (0 for the lowest one) (meV/atom): 545
# Total DFT energy (no corrections) (eV per atom): -7.25
# Spin magnetization (Bohr magnetons per cell): 0.0
data_BaTcMo2
_cell_length_a 5.0916
_cell_length_b 5.0916
_cell_length_c 17.0885
_cell_angle_alpha 90.00
_cell_angle_beta 90.00
_cell_angle_gamma 90.00
_symmetry_space_group_name_H-M 'I 41/a m d'
_symmetry_Int_Tables_number 141
loop_
_symmetry_equiv_pos_as_xyz
'x,y,z'
'-x,-y,-z'
'-y+1/4,x+3/4,z+1/4'
'y+1/4,-x+3/4,-z+1/4'
'-x+1/2,-y,z+1/2'
'x+1/2,y,-z+1/2'
'y+1/4,-x+1/4,z+3/4'
'-y+1/4,x+1/4,-z+3/4'
'x,-y,-z'
'-x,y,z'
'-y+1/4,-x+1/4,-z+3/4'
'y+1/4,x+1/4,z+3/4'
'-x+1/2,y,-z+1/2'
'x+1/2,-y,z+1/2'
'y+1/4,x+3/4,-z+1/4'
'-y+1/4,-x+3/4,z+1/4'
'x+1/2,y+1/2,z+1/2'
'-x+1/2,-y+1/2,-z+1/2'
'-y+3/4,x+1/4,z+3/4'
'y+3/4,-x+1/4,-z+3/4'
'-x,-y+1/2,z'
'x,y+1/2,-z'
'y+3/4,-x+3/4,z+1/4'
'-y+3/4,x+3/4,-z+1/4'
'x+1/2,-y+1/2,-z+1/2'
'-x+1/2,y+1/2,z+1/2'
'-y+3/4,-x+3/4,-z+1/4'
'y+3/4,x+3/4,z+1/4'
'-x,y+1/2,-z'
'x,-y+1/2,z'
'y+3/4,x+1/4,-z+3/4'
'-y+3/4,-x+1/4,z+3/4'
loop_
_atom_site_label
_atom_site_fract_x
_atom_site_fract_y
_atom_site_fract_z
_atom_site_occupancy
Ba1 0.0000 0.2500 0.3750 1
Tc1 0.0000 0.2500 0.8750 1
Mo1 0.0000 0.0000 0.0000 1

# PBE CeScNi2Ge2, relaxed
# Total DFT energy (no corrections) (eV per atom): -6.29
# Spin magnetization (Bohr magnetons per cell): 0.2
data_CeScNi2Ge2
_cell_length_a 4.1910
_cell_length_b 4.1910
_cell_length_c 6.9118
_cell_angle_alpha 90.00
_cell_angle_beta 90.00
_cell_angle_gamma 120.00
_symmetry_space_group_name_H-M 'P -3 m 1'
_symmetry_Int_Tables_number 164
_symmetry_space_group_name_Hall '-P 3 2"'
loop_
_atom_site_label
_atom_site_fract_x
_atom_site_fract_y
_atom_site_fract_z
_atom_site_occupancy
Ce1 0.0000 0.0000 0.0000 1
Sc1 0.0000 0.0000 0.5000 1
Ni1 0.3333 0.6667 0.6890 1
Ge1 0.3333 0.6667 0.2765 1

# PBE Li2AsRu, relaxed
# Total DFT energy (no corrections) (eV per atom): -4.57
# Spin magnetization (Bohr magnetons per cell): 0.0
data_Li2AsRu
_cell_length_a 4.8270
_cell_length_b 8.4677
_cell_length_c 2.8353
_cell_angle_alpha 90.00
_cell_angle_beta 90.00
_cell_angle_gamma 90.00
_symmetry_space_group_name_H-M 'C m m m'
_symmetry_Int_Tables_number 65
_symmetry_space_group_name_Hall '-C 2 2'
loop_
_atom_site_label
_atom_site_fract_x
_atom_site_fract_y
_atom_site_fract_z
_atom_site_occupancy
Li1 0.2500 0.2500 0.0000 1
As1 0.0000 0.0000 0.5000 1
Ru1 0.0000 0.5000 0.5000 1

# PBE MnFeGe2, relaxed
# Polymorph energy (0 for the lowest one) (meV/atom): 106
# Total DFT energy (no corrections) (eV per atom): -6.57
# Spin magnetization (Bohr magnetons per cell): 0.7
data_MnFeGe2
_cell_length_a 5.6986
_cell_length_b 2.7245
_cell_length_c 7.1183
_cell_angle_alpha 90.00
_cell_angle_beta 90.11
_cell_angle_gamma 90.00
_symmetry_space_group_name_H-M 'P 1 2/m 1'
_symmetry_Int_Tables_number 10
_symmetry_space_group_name_Hall '-P 2y'
loop_
_atom_site_label
_atom_site_fract_x
_atom_site_fract_y
_atom_site_fract_z
_atom_site_occupancy
Mn1 0.1708 0.0000 0.9999 1
Fe1 0.0000 0.0000 0.5000 1
Fe2 0.5000 0.0000 0.5000 1
Ge1 0.2508 0.5000 0.2853 1
Ge2 0.2521 0.5000 0.7148 1

# PBE Pm4InGa2, relaxed
# Polymorph energy (0 for the lowest one) (meV/atom): 0
# Total DFT energy (no corrections) (eV per atom): -4.42
# Spin magnetization (Bohr magnetons per cell): 0.0
data_Pm4InGa2
_cell_length_a 6.6354
_cell_length_b 8.4372
_cell_length_c 8.4875
_cell_angle_alpha 115.83
_cell_angle_beta 102.50
_cell_angle_gamma 102.48
_symmetry_space_group_name_H-M 'P 1'
_symmetry_Int_Tables_number 1
_symmetry_space_group_name_Hall 'P 1'
loop_
_atom_site_label
_atom_site_fract_x
_atom_site_fract_y
_atom_site_fract_z
_atom_site_occupancy
Pm1 0.0000 0.0000 0.0000 1
Pm2 0.0371 0.3191 0.4438 1
Pm3 0.1401 0.8517 0.4183 1
Pm4 0.2390 0.6703 0.9487 1
Pm5 0.4986 0.0640 0.9276 1
Pm6 0.5352 0.5087 0.2413 1
Pm7 0.6401 0.4805 0.7862 1
Pm8 0.7388 0.0194 0.5991 1
In1 0.4698 0.1480 0.3327 1
In2 0.9708 0.4022 0.0813 1
Ga1 0.2211 0.2673 0.8058 1
Ga2 0.4485 0.6874 0.6171 1
Ga3 0.7244 0.8743 0.1988 1
Ga4 0.9169 0.6824 0.6166 1

# PBE MgAlO, relaxed
# Polymorph energy (0 for the lowest one) (meV/atom): 8
# Total DFT energy (no corrections) (eV per atom): -4.96
# Spin magnetization (Bohr magnetons per cell): 0.0
data_MgAlO
_cell_length_a 14.0638
_cell_length_b 3.0900
_cell_length_c 4.8377
_cell_angle_alpha 90.00
_cell_angle_beta 107.14
_cell_angle_gamma 90.00
_symmetry_space_group_name_H-M 'C 1 m 1'
_symmetry_Int_Tables_number 8
_symmetry_space_group_name_Hall 'C -2y'
loop_
_atom_site_label
_atom_site_fract_x
_atom_site_fract_y
_atom_site_fract_z
_atom_site_occupancy
Mg1 0.0000 0.0000 0.0000 1
Mg2 0.1408 0.5000 0.4938 1
Al1 0.2524 0.0000 0.0946 1
Al2 0.4294 0.0000 0.4600 1
O1 0.1498 0.0000 0.2521 1
O2 0.2298 0.5000 0.8859 1

# PBE Ce2Al3GaPd4, relaxed
# Total DFT energy (no corrections) (eV per atom): -5.48
# Spin magnetization (Bohr magnetons per cell): 1.5
data_Ce2Al3GaPd4
_cell_length_a 4.3144
_cell_length_b 4.3144
_cell_length_c 10.3195
_cell_angle_alpha 90.00
_cell_angle_beta 90.00
_cell_angle_gamma 90.00
_symmetry_space_group_name_H-M 'P -4 m 2'
_symmetry_Int_Tables_number 115
_symmetry_space_group_name_Hall 'P -4 -2'
loop_
_atom_site_label
_atom_site_fract_x
_atom_site_fract_y
_atom_site_fract_z
_atom_site_occupancy
Ce1 0.0000 0.5000 0.2454 1
Al1 0.0000 0.0000 0.0000 1
Al2 0.0000 0.5000 0.6250 1
Ga1 0.5000 0.5000 0.0000 1
Pd1 0.0000 0.0000 0.5000 1
Pd2 0.0000 0.5000 0.8653 1
Pd3 0.5000 0.5000 0.5000 1

# PBE Tb8Pr3Sc2, relaxed
# Total DFT energy (no corrections) (eV per atom): -4.68
# Spin magnetization (Bohr magnetons per cell): 0.0
data_Tb8Pr3Sc2
_cell_length_a 19.6440
_cell_length_b 7.7870
_cell_length_c 5.6336
_cell_angle_alpha 90.00
_cell_angle_beta 90.02
_cell_angle_gamma 90.00
_symmetry_space_group_name_H-M 'C 1 2/m 1'
_symmetry_Int_Tables_number 12
_symmetry_space_group_name_Hall '-C 2y'
loop_
_atom_site_label
_atom_site_fract_x
_atom_site_fract_y
_atom_site_fract_z
_atom_site_occupancy
Tb1 0.1142 0.2080 0.0002 1
Tb2 0.1370 0.5000 0.4998 1
Tb3 0.1793 0.0000 0.5005 1
Pr1 0.0000 0.2062 0.5000 1
Pr2 0.0000 0.5000 0.0000 1
Sc1 0.2406 0.5000 0.9994 1

# PBE Tm4Ag, relaxed
# Polymorph energy (0 for the lowest one) (meV/atom): 290
# Total DFT energy (no corrections) (eV per atom): -3.86
# Spin magnetization (Bohr magnetons per cell): 0.0
data_Tm4Ag
_cell_length_a 5.4746
_cell_length_b 5.4746
_cell_length_c 5.4746
_cell_angle_alpha 90.00
_cell_angle_beta 90.00
_cell_angle_gamma 90.00
_symmetry_space_group_name_H-M 'P m -3 m'
_symmetry_Int_Tables_number 221
_symmetry_space_group_name_Hall '-P 4 2 3'
loop_
_atom_site_label
_atom_site_fract_x
_atom_site_fract_y
_atom_site_fract_z
_atom_site_occupancy
Tm1 0.0000 0.0000 0.0000 1
Tm2 0.0000 0.5000 0.5000 1
Ag1 0.5000 0.5000 0.5000 1

# PBE TiAsC2I, relaxed
# Total DFT energy (no corrections) (eV per atom): -4.90
# Spin magnetization (Bohr magnetons per cell): 0.0
data_TiAsC2I
_cell_length_a 4.1215
_cell_length_b 4.1215
_cell_length_c 5.6499
_cell_angle_alpha 90.00
_cell_angle_beta 90.00
_cell_angle_gamma 90.00
_symmetry_space_group_name_H-M 'P 4/m m m'
_symmetry_Int_Tables_number 123
_symmetry_space_group_name_Hall '-P 4 2'
loop_
_atom_site_label
_atom_site_fract_x
_atom_site_fract_y
_atom_site_fract_z
_atom_site_occupancy
Ti1 0.0000 0.0000 0.0000 1
As1 0.5000 0.5000 0.5000 1
C1 0.0000 0.5000 0.0000 1
I1 0.0000 0.0000 0.5000 1

# PBE Hf2Tl3CuSe6, relaxed
# Total DFT energy (no corrections) (eV per atom): -5.13
# Spin magnetization (Bohr magnetons per cell): 0.0
data_Hf2Tl3CuSe6
_cell_length_a 6.7535
_cell_length_b 11.7780
_cell_length_c 8.1196
_cell_angle_alpha 90.00
_cell_angle_beta 105.88
_cell_angle_gamma 90.00
_symmetry_space_group_name_H-M 'C 1 2/m 1'
_symmetry_Int_Tables_number 12
_symmetry_space_group_name_Hall '-C 2y'
loop_
_atom_site_label
_atom_site_fract_x
_atom_site_fract_y
_atom_site_fract_z
_atom_site_occupancy
Hf1 0.0000 0.1664 0.0000 1
Tl1 0.0000 0.0000 0.5000 1
Tl2 0.0000 0.3351 0.5000 1
Cu1 0.0000 0.5000 0.0000 1
Se1 0.2300 0.0000 0.1864 1
Se2 0.2336 0.3300 0.1940 1

# PBE LiAg2F, relaxed
# Polymorph energy (0 for the lowest one) (meV/atom): 0
# Total DFT energy (no corrections) (eV per atom): -3.19
# Spin magnetization (Bohr magnetons per cell): 0.0
data_LiAg2F
_cell_length_a 9.4134
_cell_length_b 9.4134
_cell_length_c 3.4306
_cell_angle_alpha 90.00
_cell_angle_beta 90.00
_cell_angle_gamma 90.00
_symmetry_space_group_name_H-M 'I -4 2 d'
_symmetry_Int_Tables_number 122
_symmetry_space_group_name_Hall 'I -4 2bw'
loop_
_atom_site_label
_atom_site_fract_x
_atom_site_fract_y
_atom_site_fract_z
_atom_site_occupancy
Li1 0.0000 0.0000 0.0000 1
Ag1 0.1377 0.2500 0.6250 1
F1 0.0000 0.0000 0.5000 1

# PBE CuReO2, relaxed
# Polymorph energy (0 for the lowest one) (meV/atom): 113
# Total DFT energy (no corrections) (eV per atom): -7.22
# Spin magnetization (Bohr magnetons per cell): 0.0
data_CuReO2
_cell_length_a 2.8643
_cell_length_b 2.8643
_cell_length_c 18.7322
_cell_angle_alpha 90.00
_cell_angle_beta 90.00
_cell_angle_gamma 120.00
_symmetry_space_group_name_H-M 'R -3 m'
_symmetry_Int_Tables_number 166
_symmetry_space_group_name_Hall '-R 3 2"'
loop_
_atom_site_label
_atom_site_fract_x
_atom_site_fract_y
_atom_site_fract_z
_atom_site_occupancy
Cu1 0.0000 0.0000 0.0000 1
Re1 0.0000 0.0000 0.5000 1
O1 0.0000 0.0000 0.4009 1